(1)
! TbTmGa | the Alexandria database | PBE | relaxed; values from VASP
&SYSTEM
  ibrav = 0, nat = 3, ntyp = 3
/
ATOMIC_SPECIES
Tb 158.93 Tb.upf
Tm 168.93 Tm.upf
Ga 69.72 Ga.upf
CELL_PARAMETERS angstrom
0.0000 3.4910 3.4910
3.4910 0.0000 3.4910
3.4910 3.4910 0.0000
ATOMIC_POSITIONS angstrom
Tb 0.0000 0.0000 0.0000
Tm 3.4910 3.4910 3.4910
Ga 5.2365 5.2365 5.2365
! - Excess energy over the best structure of this formula in the dataset: 148 meV per atom
! - Electronic total energy: -4.29 eV per atom
! - DOS at the Fermi energy: 4.5 states/eV/f.u.
! - ρ: 7.76 g cm⁻³
! - DFT formation energy: -0.248 eV per atom


(2)
! In6Hg5 | the Alexandria database | PBE | relaxed; values from VASP
&SYSTEM
  ibrav = 0, nat = 11, ntyp = 2
/
ATOMIC_SPECIES
In 114.82 In.upf
Hg 200.59 Hg.upf
CELL_PARAMETERS angstrom
3.4936 -5.9155 0.0000
3.4936 5.9155 0.0000
-2.1905 0.0000 7.2696
ATOMIC_POSITIONS angstrom
In 0.8201 1.6276 1.4094
In -0.2640 0.0000 5.1501
In 0.8201 -1.6276 1.4094
In 3.9765 1.6276 5.8603
In 5.0606 0.0000 2.1196
In 3.9765 -1.6276 5.8603
Hg 2.3983 3.2210 3.6348
Hg 3.4936 1.6547 0.0000
Hg 2.3983 0.0000 3.6348
Hg 3.4936 -1.6547 0.0000
Hg 2.3983 -3.2210 3.6348
! - Electronic total energy: -1.61 eV per atom
! - DOS at the Fermi energy: 4.1 states/eV/f.u.
! - ρ: 9.35 g cm⁻³
! - DFT formation energy: 0.021 eV per atom


(3)
! SmGdZnTc | the Alexandria database | PBE | relaxed; values from VASP
&SYSTEM
  ibrav = 0, nat = 4, ntyp = 4
/
ATOMIC_SPECIES
Sm 150.36 Sm.upf
Gd 157.25 Gd.upf
Zn 65.41 Zn.upf
Tc 98.00 Tc.upf
CELL_PARAMETERS angstrom
0.0000 3.5338 3.5338
3.5338 0.0000 3.5338
3.5338 3.5338 0.0000
ATOMIC_POSITIONS angstrom
Sm 0.0000 0.0000 0.0000
Gd 3.5338 3.5338 3.5338
Zn 5.3008 5.3008 5.3008
Tc 1.7669 1.7669 1.7669
! - Electronic total energy: -7.70 eV per atom
! - DOS at the Fermi energy: 2.1 states/eV/f.u.
! - ρ: 8.86 g cm⁻³
! - DFT formation energy: -0.086 eV per atom


(4)
! BaPt2Br | the Alexandria database | PBE | relaxed; values from VASP
&SYSTEM
  ibrav = 0, nat = 4, ntyp = 3
/
ATOMIC_SPECIES
Ba 137.33 Ba.upf
Pt 195.08 Pt.upf
Br 79.90 Br.upf
CELL_PARAMETERS angstrom
2.1920 1.2656 7.8140
-2.1920 1.2656 7.8140
0.0000 -2.5311 7.8140
ATOMIC_POSITIONS angstrom
Ba 0.0000 0.0000 0.0000
Pt 0.0000 0.0000 10.2014
Pt 0.0000 0.0000 18.0042
Br 0.0000 0.0000 5.8719
! - Excess energy over the best structure of this formula in the dataset: 0 meV per atom
! - Electronic total energy: -4.53 eV per atom
! - DOS at the Fermi energy: 4.4 states/eV/f.u.
! - ρ: 7.75 g cm⁻³


(5)
! NdUFe3 | the Alexandria database | PBE | relaxed; values from VASP
&SYSTEM
  ibrav = 0, nat = 20, ntyp = 3
/
ATOMIC_SPECIES
Nd 144.24 Nd.upf
U 238.03 U.upf
Fe 55.84 Fe.upf
CELL_PARAMETERS angstrom
7.8163 0.0000 0.0000
0.0000 5.8727 0.0000
-3.2950 0.0000 7.9584
ATOMIC_POSITIONS angstrom
Nd 0.0463 0.5377 1.6827
Nd -1.6012 2.3987 5.6619
Nd 6.1225 3.4740 2.2964
Nd 4.4750 5.3350 6.2756
U 2.7922 4.2061 0.5214
U 1.1448 4.6029 4.5006
U 3.3765 1.2698 3.4578
U 1.7291 1.6666 7.4370
Fe 0.7942 3.4486 0.6951
Fe -0.8533 5.3604 4.6743
Fe 0.9372 1.2957 4.5369
Fe 2.5847 1.6407 0.5577
Fe 0.1832 0.1109 6.7912
Fe 1.8307 2.8255 2.8120
Fe 2.6907 3.0472 5.1463
Fe 4.3381 5.7618 1.1671
Fe 1.9366 4.2320 7.4007
Fe 3.5841 4.5770 3.4215
Fe 5.3746 0.5123 3.2841
Fe 3.7272 2.4240 7.2633
! - Electronic total energy: -8.28 eV per atom
! - DOS at the Fermi energy: 4.8 states/eV/f.u.
! - ρ: 10.00 g cm⁻³
! - DFT formation energy: 0.010 eV per atom


(6)
! HfTlSi3 | the Alexandria database | PBE | relaxed; values from VASP
&SYSTEM
  ibrav = 0, nat = 5, ntyp = 3
/
ATOMIC_SPECIES
Hf 178.49 Hf.upf
Tl 204.38 Tl.upf
Si 28.09 Si.upf
CELL_PARAMETERS angstrom
5.1164 0.0000 0.0000
0.0000 5.1164 0.0000
0.0000 0.0000 5.1164
ATOMIC_POSITIONS angstrom
Hf 0.0000 0.0000 0.0000
Tl 2.5582 2.5582 2.5582
Si 0.0000 0.0000 2.5582
Si 0.0000 2.5582 0.0000
Si 2.5582 0.0000 0.0000
! - Electronic total energy: -5.14 eV per atom
! - DOS at the Fermi energy: 1.6 states/eV/f.u.
! - ρ: 5.79 g cm⁻³


(7)
! RbCr2H | the Alexandria database | PBE | relaxed; values from VASP
&SYSTEM
  ibrav = 0, nat = 4, ntyp = 3
/
ATOMIC_SPECIES
Rb 85.47 Rb.upf
Cr 52.00 Cr.upf
H 1.01 H.upf
CELL_PARAMETERS angstrom
0.0000 3.7230 3.7230
3.7230 0.0000 3.7230
3.7230 3.7230 0.0000
ATOMIC_POSITIONS angstrom
Rb 0.0000 0.0000 0.0000
Cr 1.8615 1.8615 1.8615
Cr 5.5845 5.5845 5.5845
H 3.7230 3.7230 3.7230
! - Excess energy over the best structure of this formula in the dataset: 892 meV per atom
! - Electronic total energy: -4.06 eV per atom
! - DOS at the Fermi energy: 2.9 states/eV/f.u.
! - ρ: 3.06 g cm⁻³


(8)
! VAs2C | the Alexandria database | PBE | relaxed; values from VASP
&SYSTEM
  ibrav = 0, nat = 8, ntyp = 3
/
ATOMIC_SPECIES
V 50.94 V.upf
As 74.92 As.upf
C 12.01 C.upf
CELL_PARAMETERS angstrom
-2.8373 2.8373 4.0951
2.8373 -2.8373 4.0951
2.8373 2.8373 -4.0951
ATOMIC_POSITIONS angstrom
V 0.0000 0.0000 0.0000
V 0.0000 2.8373 2.0476
As 1.4186 -1.0111 3.0713
As 1.8262 1.4186 1.0238
As 1.4186 3.8484 -1.0238
As 1.0111 1.4186 5.1189
C 2.8373 0.0000 2.0476
C 0.0000 0.0000 4.0951
! - Electronic total energy: -6.28 eV per atom
! - DOS at the Fermi energy: 1.6 states/eV/f.u.
! - ρ: 5.36 g cm⁻³
! - DFT formation energy: 0.634 eV per atom


(9)
! Mg7Ga4Sn | the Alexandria database | PBE | relaxed; values from VASP
&SYSTEM
  ibrav = 0, nat = 12, ntyp = 3
/
ATOMIC_SPECIES
Mg 24.30 Mg.upf
Ga 69.72 Ga.upf
Sn 118.71 Sn.upf
CELL_PARAMETERS angstrom
6.4588 -2.6927 0.0000
6.4588 2.6927 0.0000
-5.4905 0.0000 7.6519
ATOMIC_POSITIONS angstrom
Mg 0.0000 0.0000 0.0000
Mg -0.8121 0.0000 5.1600
Mg 2.9846 0.0000 0.9297
Mg 2.3430 0.0000 4.6277
Mg 5.0842 0.0000 3.0243
Mg 4.4425 0.0000 6.7222
Mg 8.2393 0.0000 2.4920
Ga -3.4109 0.0000 5.7756
Ga 0.4479 0.0000 2.6829
Ga 6.9793 0.0000 4.9691
Ga 10.8381 0.0000 1.8763
Sn 6.4588 0.0000 0.0000
! - Electronic total energy: -2.27 eV per atom
! - DOS at the Fermi energy: 5.0 states/eV/f.u.
! - ρ: 3.54 g cm⁻³
! - DFT formation energy: 0.004 eV per atom


(10)
! KCaPS4 | the Alexandria database | PBE | relaxed; values from VASP
&SYSTEM
  ibrav = 0, nat = 14, ntyp = 4
/
ATOMIC_SPECIES
K 39.10 K.upf
Ca 40.08 Ca.upf
P 30.97 P.upf
S 32.06 S.upf
CELL_PARAMETERS angstrom
6.5309 0.0000 0.0000
0.0000 6.6633 0.0000
-2.5453 0.0000 8.3262
ATOMIC_POSITIONS angstrom
K 0.4353 1.6658 3.6231
K 3.5503 4.9974 4.7031
Ca -0.6802 1.6658 7.9176
Ca 4.6658 4.9974 0.4086
P 1.4246 4.9974 1.4936
P 2.5610 1.6658 6.8326
S -0.2023 4.9974 2.7359
S -1.6847 4.9974 7.8516
S 2.6375 3.3705 1.8481
S 2.6375 6.6244 1.8481
S 1.3481 0.0389 6.4781
S 1.3481 3.2928 6.4781
S 5.6703 1.6658 0.4746
S 4.1879 1.6658 5.5903
! - Electronic total energy: -4.71 eV per atom
! - DOS at the Fermi energy: 0.0 states/eV/f.u.
! - ρ: 2.19 g cm⁻³


(11)
! CsGaSCl2 | the Alexandria database | PBE | relaxed; values from VASP
&SYSTEM
  ibrav = 0, nat = 5, ntyp = 4
/
ATOMIC_SPECIES
Cs 132.91 Cs.upf
Ga 69.72 Ga.upf
S 32.06 S.upf
Cl 35.45 Cl.upf
CELL_PARAMETERS angstrom
6.3380 0.0000 0.0000
0.0000 6.3380 0.0000
0.0000 0.0000 5.6471
ATOMIC_POSITIONS angstrom
Cs 0.0000 0.0000 0.0000
Ga 3.1690 3.1690 2.8235
S 0.0000 0.0000 2.8235
Cl 0.0000 3.1690 0.0000
Cl 3.1690 0.0000 0.0000
! - Excess energy over the best structure of this formula in the dataset: 1022 meV per atom
! - Electronic total energy: -2.34 eV per atom
! - DOS at the Fermi energy: 8.0 states/eV/f.u.
! - ρ: 2.24 g cm⁻³


(12)
! CuPdRh2 | the Alexandria database | PBE | relaxed; values from VASP
&SYSTEM
  ibrav = 0, nat = 8, ntyp = 3
/
ATOMIC_SPECIES
Cu 63.55 Cu.upf
Pd 106.42 Pd.upf
Rh 102.91 Rh.upf
CELL_PARAMETERS angstrom
-3.4627 3.4627 2.5672
3.4627 -3.4627 2.5672
3.4627 3.4627 -2.5672
ATOMIC_POSITIONS angstrom
Cu 0.0000 0.0000 0.0000
Cu 0.0000 3.4627 1.2836
Pd 3.4627 0.0000 1.2836
Pd 0.0000 0.0000 2.5672
Rh 5.1941 1.5592 -0.6418
Rh 1.5592 1.7314 0.6418
Rh -1.7314 1.9035 1.9254
Rh 1.9035 1.7314 3.2090
! - Electronic total energy: -5.46 eV per atom
! - DOS at the Fermi energy: 6.5 states/eV/f.u.
! - ρ: 10.14 g cm⁻³
! - DFT formation energy: 0.542 eV per atom


(13)
! Sm2CdSb4 | the Alexandria database | PBE | relaxed; values from VASP
&SYSTEM
  ibrav = 0, nat = 7, ntyp = 3
/
ATOMIC_SPECIES
Sm 150.36 Sm.upf
Cd 112.41 Cd.upf
Sb 121.76 Sb.upf
CELL_PARAMETERS angstrom
4.3559 0.0000 0.0000
0.0000 4.3559 0.0000
0.0000 0.0000 10.7048
ATOMIC_POSITIONS angstrom
Sm 0.0000 2.1780 2.5017
Sm 2.1780 0.0000 8.2032
Cd 2.1780 2.1780 5.3524
Sb 0.0000 0.0000 0.0000
Sb 0.0000 2.1780 7.2433
Sb 2.1780 0.0000 3.4615
Sb 2.1780 2.1780 0.0000
! - Electronic total energy: -4.52 eV per atom
! - DOS at the Fermi energy: 3.0 states/eV/f.u.
! - ρ: 7.36 g cm⁻³


(14)
! InSiIN2 | the Alexandria database | PBE | relaxed; values from VASP
&SYSTEM
  ibrav = 0, nat = 5, ntyp = 4
/
ATOMIC_SPECIES
In 114.82 In.upf
Si 28.09 Si.upf
I 126.90 I.upf
N 14.01 N.upf
CELL_PARAMETERS angstrom
4.3108 0.0000 0.0000
0.0000 4.3108 0.0000
0.0000 0.0000 6.1955
ATOMIC_POSITIONS angstrom
In 0.0000 0.0000 0.0000
Si 2.1554 2.1554 3.0977
I 0.0000 0.0000 3.0977
N 0.0000 2.1554 0.0000
N 2.1554 0.0000 0.0000
! - Excess energy over the best structure of this formula in the dataset: 640 meV per atom
! - Electronic total energy: -3.61 eV per atom
! - DOS at the Fermi energy: 2.6 states/eV/f.u.
! - ρ: 4.30 g cm⁻³


(15)
! Na6CdAg2 | the Alexandria database | PBE | relaxed; values from VASP
&SYSTEM
  ibrav = 0, nat = 9, ntyp = 3
/
ATOMIC_SPECIES
Na 22.99 Na.upf
Cd 112.41 Cd.upf
Ag 107.87 Ag.upf
CELL_PARAMETERS angstrom
8.0666 -3.6910 0.0000
8.0666 3.6910 0.0000
-1.5741 0.0000 4.8251
ATOMIC_POSITIONS angstrom
Na 4.7999 1.8885 1.5888
Na 8.0666 1.9575 0.0000
Na 9.7592 1.8885 3.2362
Na 4.7999 -1.8885 1.5888
Na 8.0666 -1.9575 0.0000
Na 9.7592 -1.8885 3.2362
Cd 7.2796 0.0000 2.4125
Ag 2.4494 0.0000 0.8127
Ag 12.1098 0.0000 4.0124
! - Excess energy over the best structure of this formula in the dataset: 97 meV per atom
! - Electronic total energy: -1.55 eV per atom
! - DOS at the Fermi energy: 4.1 states/eV/f.u.
! - ρ: 2.69 g cm⁻³
! - DFT formation energy: 0.066 eV per atom


(16)
! PrY3Ag2 | the Alexandria database | PBE | relaxed; values from VASP
&SYSTEM
  ibrav = 0, nat = 6, ntyp = 3
/
ATOMIC_SPECIES
Pr 140.91 Pr.upf
Y 88.91 Y.upf
Ag 107.87 Ag.upf
CELL_PARAMETERS angstrom
3.6478 0.0000 0.0000
0.0000 3.6478 0.0000
0.0000 0.0000 12.4709
ATOMIC_POSITIONS angstrom
Pr 0.0000 0.0000 0.0000
Y 1.8239 1.8239 2.6046
Y 1.8239 1.8239 6.2354
Y 1.8239 1.8239 9.8662
Ag 0.0000 0.0000 4.4011
Ag 0.0000 0.0000 8.0697
! - Electronic total energy: -5.19 eV per atom
! - DOS at the Fermi energy: 6.6 states/eV/f.u.
! - ρ: 6.24 g cm⁻³
! - DFT formation energy: -0.206 eV per atom


(17)
! Be2Si | the Alexandria database | PBE | relaxed; values from VASP
&SYSTEM
  ibrav = 0, nat = 6, ntyp = 2
/
ATOMIC_SPECIES
Be 9.01 Be.upf
Si 28.09 Si.upf
CELL_PARAMETERS angstrom
3.6036 0.0000 0.0000
1.7703 3.7026 0.0000
0.0562 1.4168 5.4619
ATOMIC_POSITIONS angstrom
Be 0.9085 1.9729 1.8297
Be 0.9099 0.7391 0.1510
Be 4.5202 4.3803 5.3108
Be 4.5216 3.1465 3.6321
Si 2.7203 4.5496 3.8332
Si 2.7098 0.5698 1.6287
! - Excess energy over the best structure of this formula in the dataset: 41 meV per atom
! - Electronic total energy: -4.11 eV per atom
! - DOS at the Fermi energy: 0.6 states/eV/f.u.
! - ρ: 2.10 g cm⁻³


(18)
! Ba4Mg2Rh | the Alexandria database | PBE | relaxed; values from VASP
&SYSTEM
  ibrav = 0, nat = 7, ntyp = 3
/
ATOMIC_SPECIES
Ba 137.33 Ba.upf
Mg 24.30 Mg.upf
Rh 102.91 Rh.upf
CELL_PARAMETERS angstrom
-2.9839 2.9839 9.3208
2.9839 -2.9839 9.3208
2.9839 2.9839 -9.3208
ATOMIC_POSITIONS angstrom
Ba 2.9839 0.0000 0.0000
Ba 0.0000 0.0000 3.1512
Ba 0.0000 2.9839 0.0000
Ba 0.0000 0.0000 15.4904
Mg 0.0000 0.0000 6.9050
Mg 0.0000 0.0000 11.7366
Rh 0.0000 0.0000 0.0000
! - Electronic total energy: -2.60 eV per atom
! - DOS at the Fermi energy: 9.2 states/eV/f.u.
! - ρ: 3.51 g cm⁻³
! - DFT formation energy: 0.004 eV per atom


(19)
! Pm2MgAlO6 | the Alexandria database | PBE | relaxed; values from VASP
&SYSTEM
  ibrav = 0, nat = 20, ntyp = 4
/
ATOMIC_SPECIES
Pm 145.00 Pm.upf
Mg 24.30 Mg.upf
Al 26.98 Al.upf
O 16.00 O.upf
CELL_PARAMETERS angstrom
5.3982 0.0000 0.0000
0.0000 5.5949 0.0000
-5.3701 0.0000 7.6902
ATOMIC_POSITIONS angstrom
Pm -0.0770 0.3159 1.9149
Pm -2.7621 2.4815 5.7600
Pm 2.7902 3.1133 1.9302
Pm 0.1051 5.2789 5.7753
Mg -2.6850 0.0000 3.8451
Mg 0.0000 2.7974 0.0000
Al 2.6991 0.0000 0.0000
Al 0.0140 2.7974 3.8451
O -4.2112 1.1043 7.3449
O -1.5262 1.6932 3.4998
O -3.7214 4.0186 7.3148
O -1.0363 4.3737 3.4697
O -2.2019 0.1398 5.8460
O 0.4832 2.6576 2.0009
O -0.4551 2.9373 5.6894
O 2.2300 5.4550 1.8443
O 1.0644 1.2212 4.2206
O 3.7495 1.5763 0.3754
O 1.5542 3.9017 4.1904
O 4.2393 4.4906 0.3453
! - Electronic total energy: -7.41 eV per atom
! - DOS at the Fermi energy: 7.1 states/eV/f.u.
! - ρ: 6.25 g cm⁻³


(20)
! Ga3Sn | the Alexandria database | PBE | relaxed; values from VASP
&SYSTEM
  ibrav = 0, nat = 8, ntyp = 2
/
ATOMIC_SPECIES
Ga 69.72 Ga.upf
Sn 118.71 Sn.upf
CELL_PARAMETERS angstrom
2.4861 -5.3254 0.0000
2.4861 5.3254 0.0000
0.0000 0.0000 6.3910
ATOMIC_POSITIONS angstrom
Ga 2.4861 4.0001 3.4112
Ga 2.4861 4.0001 6.1753
Ga 2.4861 1.9068 1.5978
Ga 2.4861 -1.9068 4.7933
Ga 2.4861 -4.0001 0.2157
Ga 2.4861 -4.0001 2.9798
Sn 2.4861 1.0793 4.7933
Sn 2.4861 -1.0793 1.5978
! - Electronic total energy: -3.24 eV per atom
! - DOS at the Fermi energy: 1.4 states/eV/f.u.
! - ρ: 6.43 g cm⁻³
! - DFT formation energy: 0.029 eV per atom